Computed, not measured: GeHBr2 after structural relaxation at the PBE level of DFT.

Results
**ΔE to the lowest computed polymorph**: 445.3 meV/atom
**Theoretical density**: 4.6 g cm⁻³
**Total magnetization**: 0.0 μB per cell
**DOS(E_F)**: 0.91 states/eV per cell

Unit cell a=8.2180 b=8.2180 c=8.2180 alpha=24.57 beta=24.57 gamma=24.57
Last column: nearest neighbours and their distance in Å.
Positions (direct):
Br: 0.8904 0.8904 0.8904  3 H 2.44, 1 Ge 2.62
Br: 0.1096 0.1096 0.1096  3 H 2.44, 1 Ge 2.62
Ge: 0.0000 0.0000 0.0000  2 Br 2.62
H: 0.5000 0.5000 0.5000  6 Br 2.44